(1)
Computed, not measured: a relaxed Nd3Sc crystal at the PBE-GGA level of DFT.

```
Nd3Sc
1.0
-0.4907 -2.9291 1.9725
4.1019 1.6511 3.4722
-8.5212 7.8517 6.3175
Nd Sc
6 2
direct
0.4563 0.2495 0.9126
0.2881 0.7492 0.5762
0.7119 0.2508 0.4238
0.9099 0.7492 0.8198
0.0901 0.2508 0.1802
0.5437 0.7505 0.0874
0.8422 0.2489 0.6844
0.1578 0.7511 0.3156
```

Properties
excess energy over the best structure of this formula in the dataset = 3 meV per atom
formation energy from the elements = 0.040 eV/atom
D(E_F) = 12.407 states/eV per cell
density = 6.1 g/cm³
total DFT energy (no corrections) = -40.949 eV for the cell shown

(2)
Computed, not measured: a relaxed Nd3Sc crystal at the PBE-GGA level of DFT.

```
Nd3Sc
1.0
-0.5733 -0.1500 3.4330
2.4632 -2.3856 0.3071
7.5624 8.0160 1.6130
Sc Nd
1 3
direct
0.0000 0.0000 0.9687
0.5000 0.5000 0.1849
0.5000 0.0000 0.7106
0.0000 0.5000 0.4692
```

Properties
excess energy over the best structure of this formula in the dataset = 195 meV per atom
formation energy from the elements = 0.232 eV/atom
D(E_F) = 7.684 states/eV per cell
density = 5.9 g/cm³
total DFT energy (no corrections) = -19.706 eV for the cell shown

(3)
Computed, not measured: a relaxed Nd5Sc crystal at the PBE-GGA level of DFT.

```
Nd5Sc
1.0
5.0970 0.0000 0.0000
0.0000 5.1055 0.0000
0.0000 -2.5528 7.6866
Nd Sc
5 1
direct
0.5000 0.5000 0.0000
0.0000 0.6632 0.3264
0.0000 0.3368 0.6736
0.5000 0.1639 0.3279
0.5000 0.8361 0.6721
0.0000 0.0000 0.0000
```

Properties
excess energy over the best structure of this formula in the dataset = 1 meV per atom
formation energy from the elements = 0.036 eV/atom
D(E_F) = 9.259 states/eV per cell
density = 6.4 g/cm³
total DFT energy (no corrections) = -29.956 eV for the cell shown

(4)
Computed, not measured: a relaxed NdSc3 crystal at the PBE-GGA level of DFT.

```
NdSc3
1.0
-1.4770 -3.7446 -3.8598
5.3049 -3.3186 1.1895
-3.2686 -3.2454 4.3993
Sc Nd
6 2
direct
0.2500 0.0900 0.9100
0.2500 0.9269 0.3979
0.7500 0.9100 0.0900
0.7500 0.3979 0.9269
0.7500 0.0731 0.6021
0.2500 0.6021 0.0731
0.7500 0.5763 0.4237
0.2500 0.4237 0.5763
```

Properties
excess energy over the best structure of this formula in the dataset = 193 meV per atom
formation energy from the elements = 0.233 eV/atom
D(E_F) = 12.284 states/eV per cell
density = 4.1 g/cm³
total DFT energy (no corrections) = -45.658 eV for the cell shown

(5)
Computed, not measured: a relaxed NdSc3 crystal at the PBE-GGA level of DFT.

```
NdSc3
1.0
-3.1372 0.8028 3.4874
1.9438 -3.5116 2.5570
3.0046 3.1100 1.9870
Sc Nd
3 1
direct
0.0000 0.5000 0.5000
0.5000 0.0000 0.5000
0.5000 0.5000 0.0000
0.0000 0.0000 0.0000
```

Properties
excess energy over the best structure of this formula in the dataset = 26 meV per atom
formation energy from the elements = 0.067 eV/atom
D(E_F) = 7.832 states/eV per cell
density = 4.3 g/cm³
total DFT energy (no corrections) = -23.493 eV for the cell shown

(6)
Computed, not measured: a relaxed NdSc4 crystal at the PBE-GGA level of DFT.

```
NdSc4
1.0
5.2083 0.0000 0.0000
0.0000 5.2083 0.0000
0.0000 0.0000 5.2083
Sc Nd
4 1
direct
0.0000 0.5000 0.5000
0.5000 0.5000 0.0000
0.0000 0.0000 0.0000
0.5000 0.0000 0.5000
0.5000 0.5000 0.5000
```

Properties
excess energy over the best structure of this formula in the dataset = 755 meV per atom
formation energy from the elements = 0.801 eV/atom
D(E_F) = 6.486 states/eV per cell
density = 3.8 g/cm³
total DFT energy (no corrections) = -26.088 eV for the cell shown

(7)
Computed, not measured: a relaxed NdSc4 crystal at the PBE-GGA level of DFT.

```
NdSc4
1.0
-5.7111 2.3347 -2.4513
-5.2045 -0.0979 3.0420
-2.4033 7.6724 3.9164
Sc Nd
8 2
direct
0.8513 0.2026 0.5949
0.1910 0.3823 0.2357
0.6911 0.3822 0.2357
0.3090 0.6178 0.7643
0.8090 0.6177 0.7643
0.3513 0.2026 0.5949
0.1487 0.7974 0.4051
0.6487 0.7974 0.4051
0.7500 0.0000 0.0000
0.2500 0.0000 0.0000
```

Properties
excess energy over the best structure of this formula in the dataset = 0 meV per atom
formation energy from the elements = 0.046 eV/atom
D(E_F) = 16.436 states/eV per cell
density = 4.1 g/cm³
total DFT energy (no corrections) = -59.730 eV for the cell shown

(8)
Computed, not measured: a relaxed Nd2Sc crystal at the PBE-GGA level of DFT.

```
Nd2Sc
1.0
5.3912 0.0000 -0.0002
0.0000 5.3912 0.0000
-2.6955 -2.6956 3.8134
Sc Nd
1 2
direct
0.0000 0.0000 0.0000
0.7500 0.2500 0.5000
0.2500 0.7500 0.5000
```

Properties
excess energy over the best structure of this formula in the dataset = 543 meV per atom
formation energy from the elements = 0.645 eV/atom
D(E_F) = 4.929 states/eV per cell
density = 5.0 g/cm³
total DFT energy (no corrections) = -13.931 eV for the cell shown